First-principles (PBE-GGA) data for a relaxed structure of AcHf2Ta, as listed in Alexandria via LeMat-Bulk.

The volume is 307.8 Å³ per cell. The formation energy comes out at 0.523 eV/atom. For the electronic total energy, the calculation gives -8.44 eV per atom.

The structure belongs to space group R-3m (No. 166, hexagonal axes); the cell edges are 3.2471, 3.2471 and 33.7086 Å and the angles 90.00°, 90.00° and 120.00°. The distinct sites, in fractional coordinates, are Ac at (0.0000, 0.0000, 0.0000), Hf at (0.0000, 0.0000, 0.0979) and Ta at (0.0000, 0.0000, 0.5000).